# SbOs2W (GGA-PBE, optimized geometry)
# Raw total energy (eV per atom): -9.164
data_SbOs2W
_chemical_formula_sum 'Sb4 Os8 W4'
_cell_length_a 6.388
_cell_length_b 6.388
_cell_length_c 6.388
_cell_angle_alpha 90.00
_cell_angle_beta 90.00
_cell_angle_gamma 90.00
_space_group_name_H-M_alt 'F -4 3 m'
_space_group_IT_number 216
_space_group_name_Hall 'F -4 2 3'
loop_
_atom_site_label
_atom_site_type_symbol
_atom_site_fract_x
_atom_site_fract_y
_atom_site_fract_z
Sb1 Sb 0.000 0.000 0.000
Os1 Os 0.000 0.000 0.500
Os2 Os 0.250 0.250 0.750
W1 W 0.250 0.250 0.250